Below is crystalline CaHg2As2 at its relaxed geometry, with properties calculated at the PBE level.

Spin magnetization, μB per atom: 0.000
Energy relative to the elements, eV/atom: -0.13

abc: 8.033 8.033 3.704
angles: 90.00 90.00 90.00
Space group P4/mbm (No. 127)
One atom of each set of equivalent atoms:
Ca  0.000  0.000  0.000
Hg  0.123  0.377  0.000
As  0.192  0.692  0.500